Entry 1:
Here is a crystal of Sr2TcP relaxed with PBEsol from Alexandria. Energies are from SCAN.

- Crystal system: orthorhombic
- Offset from the most stable computed form: 0.0000 eV/atom
- Energy: -22.82 eV per atom

Unit cell a=4.040 b=4.690 c=11.040 alpha=90.00 beta=90.00 gamma=90.00
Space group Amm2 (No. 38)
Unique sites:
Sr: 0.000 0.000 0.000
Sr: 0.500 0.000 0.286
Tc: 0.000 0.000 0.686
P: 0.500 0.000 0.590

---

Entry 2:
Here is a crystal of Sr2TcP relaxed with PBEsol from Alexandria. Energies are from SCAN.

- Crystal system: orthorhombic
- Offset from the most stable computed form: 0.6558 eV/atom
- Energy: -22.16 eV per atom

Unit cell a=3.151 b=4.130 c=7.085 alpha=90.00 beta=90.00 gamma=90.00
Space group Pmmm (No. 47)
Unique sites:
Sr: 0.000 0.000 0.237
Tc: 0.500 0.500 0.500
P: 0.500 0.500 0.000

---

Entry 3:
Here is a crystal of SrTeP2 relaxed with PBEsol from Alexandria. Energies are from SCAN.

- Crystal system: tetragonal
- Uncorrected formation energy: -0.120 eV/atom
- Energy: -20.20 eV per atom

Unit cell a=4.161 b=4.161 c=10.339 alpha=90.00 beta=90.00 gamma=90.00
Space group I-4m2 (No. 119)
Unique sites:
Sr: 0.000 0.000 0.000
Te: 0.000 0.500 0.250
P: 0.000 0.000 0.500
P: 0.000 0.500 0.750

---

Entry 4:
Here is a crystal of Sr2TeP relaxed with PBEsol from Alexandria. Energies are from SCAN.

- Crystal system: orthorhombic
- Uncorrected formation energy: -1.206 eV/atom
- Energy: -24.26 eV per atom

Unit cell a=3.629 b=4.334 c=16.188 alpha=90.00 beta=90.00 gamma=90.00
Space group Imm2 (No. 44)
Unique sites:
Sr: 0.000 0.000 0.000
Sr: 0.000 0.500 0.223
Te: 0.000 0.500 0.834
P: 0.000 0.000 0.575

---

Entry 5:
Here is a crystal of SrTeP2 relaxed with PBEsol from Alexandria. Energies are from SCAN.

- Crystal system: tetragonal
- Uncorrected formation energy: -0.083 eV/atom
- Energy: -20.16 eV per atom

Unit cell a=6.307 b=6.307 c=13.394 alpha=90.00 beta=90.00 gamma=90.00
Space group I-42d (No. 122)
Unique sites:
Sr: 0.000 0.000 0.000
Te: 0.000 0.000 0.500
P: 0.199 0.250 0.625

---

Entry 6:
Here is a crystal of Sr3TeP relaxed with PBEsol from Alexandria. Energies are from SCAN.

- Crystal system: cubic
- Uncorrected formation energy: -0.401 eV/atom
- Energy: -23.30 eV per atom

Unit cell a=5.982 b=5.982 c=5.982 alpha=90.00 beta=90.00 gamma=90.00
Space group Pm-3m (No. 221)
Unique sites:
Sr: 0.000 0.000 0.500
Te: 0.000 0.000 0.000
P: 0.500 0.500 0.500

---

Entry 7:
Here is a crystal of Sr3TiP relaxed with PBEsol from Alexandria. Energies are from SCAN.

- Crystal system: cubic
- Energy: -17.82 eV per atom

Unit cell a=5.658 b=5.658 c=5.658 alpha=90.00 beta=90.00 gamma=90.00
Space group Pm-3m (No. 221)
Unique sites:
Sr: 0.000 0.000 0.500
Ti: 0.000 0.000 0.000
P: 0.500 0.500 0.500

---

Entry 8:
Here is a crystal of SrTiPW2 relaxed with PBEsol from Alexandria. Energies are from SCAN.

- Crystal system: tetragonal
- Energy: -34.32 eV per atom

Unit cell a=4.727 b=4.727 c=4.925 alpha=90.00 beta=90.00 gamma=90.00
Space group P4/mmm (No. 123)
Unique sites:
Sr: 0.000 0.000 0.000
Ti: 0.500 0.500 0.500
P: 0.000 0.000 0.500
W: 0.000 0.500 0.000

---

Entry 9:
Here is a crystal of SrTl4P relaxed with PBEsol from Alexandria. Energies are from SCAN.

- Crystal system: cubic
- Energy: -53.59 eV per atom

Unit cell a=8.788 b=8.788 c=8.788 alpha=90.00 beta=90.00 gamma=90.00
Space group F-43m (No. 216)
Unique sites:
Sr: 0.000 0.000 0.000
Tl: 0.124 0.124 0.624
P: 0.250 0.250 0.250

---

Entry 10:
Here is a crystal of SrTl2P relaxed with PBEsol from Alexandria. Energies are from SCAN.

- Crystal system: tetragonal
- Offset from the most stable computed form: 0.3409 eV/atom
- Energy: -44.50 eV per atom

Unit cell a=3.817 b=3.817 c=7.013 alpha=90.00 beta=90.00 gamma=90.00
Space group P4/mmm (No. 123)
Unique sites:
Sr: 0.000 0.000 0.000
Tl: 0.500 0.500 0.295
P: 0.000 0.000 0.500

---

Entry 11:
Here is a crystal of SrTl2P relaxed with PBEsol from Alexandria. Energies are from SCAN.

- Crystal system: orthorhombic
- Offset from the most stable computed form: 0.0000 eV/atom
- Energy: -44.84 eV per atom

Unit cell a=4.021 b=4.593 c=11.893 alpha=90.00 beta=90.00 gamma=90.00
Space group Amm2 (No. 38)
Unique sites:
Sr: 0.000 0.000 0.000
Tl: 0.000 0.000 0.716
Tl: 0.500 0.000 0.304
P: 0.500 0.000 0.543

---

Entry 12:
Here is a crystal of SrTlP2 relaxed with PBEsol from Alexandria. Energies are from SCAN.

- Crystal system: trigonal
- Energy: -29.00 eV per atom

Unit cell a=4.1476 b=4.1476 c=19.7858 alpha=90.00 beta=90.00 gamma=120.00
Space group R-3m (No. 166, hexagonal axes)
Unique sites:
Sr: 0.0000 0.0000 0.0000
Tl: 0.0000 0.0000 0.5000
P: 0.0000 0.0000 0.2403

---

Entry 13:
Here is a crystal of Sr2PW relaxed with PBEsol from Alexandria. Energies are from SCAN.

- Crystal system: monoclinic
- Energy: -30.99 eV per atom

Unit cell a=11.716 b=3.507 c=5.401 alpha=90.00 beta=114.57 gamma=90.00
Space group Cm (No. 8)
Unique sites:
Sr: 0.000 0.000 0.000
Sr: 0.186 0.000 0.668
P: 0.448 0.000 0.462
W: 0.306 0.500 0.287

---

Entry 14:
Here is a crystal of Sr2PW relaxed with PBEsol from Alexandria. Energies are from SCAN.

- Crystal system: tetragonal
- Energy: -30.34 eV per atom

Unit cell a=4.536 b=4.536 c=9.013 alpha=90.00 beta=90.00 gamma=90.00
Space group I4/mmm (No. 139)
Unique sites:
Sr: 0.000 0.500 0.250
P: 0.000 0.000 0.000
W: 0.000 0.000 0.500

---

Entry 15:
Here is a crystal of SrYP relaxed with PBEsol from Alexandria. Energies are from SCAN.

- Crystal system: tetragonal
- Energy: -21.04 eV per atom

Unit cell a=3.620 b=3.620 c=13.040 alpha=90.00 beta=90.00 gamma=90.00
Space group I4mm (No. 107)
Unique sites:
Sr: 0.000 0.000 0.000
Y: 0.000 0.000 0.751
P: 0.000 0.000 0.344

---

Entry 16:
Here is a crystal of SrY4P relaxed with PBEsol from Alexandria. Energies are from SCAN.

- Crystal system: cubic
- Energy: -23.51 eV per atom

Unit cell a=9.117 b=9.117 c=9.117 alpha=90.00 beta=90.00 gamma=90.00
Space group F-43m (No. 216)
Unique sites:
Sr: 0.000 0.000 0.000
Y: 0.125 0.125 0.625
P: 0.250 0.250 0.250

---

Entry 17:
Here is a crystal of SrYZn2P relaxed with PBEsol from Alexandria. Energies are from SCAN.

- Crystal system: tetragonal
- Energy: -16.95 eV per atom

Unit cell a=5.130 b=5.130 c=5.305 alpha=90.00 beta=90.00 gamma=90.00
Space group P4/mmm (No. 123)
Unique sites:
Sr: 0.000 0.000 0.000
Y: 0.500 0.500 0.500
Zn: 0.000 0.500 0.000
P: 0.000 0.000 0.500

---

Entry 18:
Here is a crystal of SrZnP2 relaxed with PBEsol from Alexandria. Energies are from SCAN.

- Crystal system: orthorhombic
- Energy: -14.91 eV per atom

Unit cell a=21.415 b=3.832 c=3.964 alpha=90.00 beta=90.00 gamma=90.00
Space group Pnma (No. 62)
Unique sites:
Sr: 0.111 0.250 0.193
Zn: 0.250 0.250 0.691
P: 0.002 0.250 0.676
P: 0.181 0.750 0.691

---

Entry 19:
Here is a crystal of SrZn2P relaxed with PBEsol from Alexandria. Energies are from SCAN.

- Crystal system: orthorhombic
- Energy: -15.14 eV per atom

Unit cell a=3.467 b=3.518 c=6.559 alpha=90.00 beta=90.00 gamma=90.00
Space group Pmm2 (No. 25)
Unique sites:
Sr: 0.000 0.000 0.000
Zn: 0.000 0.000 0.529
Zn: 0.500 0.500 0.338
P: 0.500 0.500 0.703

---

Entry 20:
Here is a crystal of SrZn2P2 relaxed with PBEsol from Alexandria. Energies are from SCAN.

- Crystal system: trigonal
- Energy: -14.81 eV per atom

Unit cell a=4.0466 b=4.0466 c=7.0202 alpha=90.00 beta=90.00 gamma=120.00
Space group P-3m1 (No. 164)
Unique sites:
Sr: 0.0000 0.0000 0.0000
Zn: 0.3333 0.6667 0.6299
P: 0.3333 0.6667 0.2742

---

Entry 21:
Here is a crystal of SrZnP2 relaxed with PBEsol from Alexandria. Energies are from SCAN.

- Crystal system: cubic
- Energy: -13.99 eV per atom

Unit cell a=6.804 b=6.804 c=6.804 alpha=90.00 beta=90.00 gamma=90.00
Space group F-43m (No. 216)
Unique sites:
Sr: 0.000 0.000 0.000
Zn: 0.250 0.250 0.750
P: 0.000 0.000 0.500
P: 0.250 0.250 0.250

---

Entry 22:
Here is a crystal of SrZnP3 relaxed with PBEsol from Alexandria. Energies are from SCAN.

- Crystal system: cubic
- Energy: -11.86 eV per atom

Unit cell a=5.333 b=5.333 c=5.333 alpha=90.00 beta=90.00 gamma=90.00
Space group Pm-3m (No. 221)
Unique sites:
Sr: 0.000 0.000 0.000
Zn: 0.500 0.500 0.500
P: 0.000 0.000 0.500

---

Entry 23:
Here is a crystal of SrZr2P relaxed with PBEsol from Alexandria. Energies are from SCAN.

- Crystal system: tetragonal
- Energy: -23.45 eV per atom

Unit cell a=4.381 b=4.381 c=4.306 alpha=90.00 beta=90.00 gamma=90.00
Space group P4/mmm (No. 123)
Unique sites:
Sr: 0.000 0.000 0.000
Zr: 0.000 0.500 0.500
P: 0.500 0.500 0.000

---

Entry 24:
Here is a crystal of Sr2ZrP relaxed with PBEsol from Alexandria. Energies are from SCAN.

- Crystal system: tetragonal
- Energy: -21.33 eV per atom

Unit cell a=4.480 b=4.480 c=4.844 alpha=90.00 beta=90.00 gamma=90.00
Space group P4/mmm (No. 123)
Unique sites:
Sr: 0.000 0.500 0.000
Zr: 0.000 0.000 0.500
P: 0.500 0.500 0.500

---

Entry 25:
Here is a crystal of Sr2ZrP relaxed with PBEsol from Alexandria. Energies are from SCAN.

- Crystal system: tetragonal
- Energy: -21.51 eV per atom

Unit cell a=3.452 b=3.452 c=9.609 alpha=90.00 beta=90.00 gamma=90.00
Space group P4/mmm (No. 123)
Unique sites:
Sr: 0.000 0.000 0.193
Zr: 0.500 0.500 0.500
P: 0.500 0.500 0.000

---

Entry 26:
Here is a crystal of SrZrP2 relaxed with PBEsol from Alexandria. Energies are from SCAN.

- Crystal system: trigonal
- Energy: -19.84 eV per atom

Unit cell a=3.8726 b=3.8726 c=20.4733 alpha=90.00 beta=90.00 gamma=120.00
Space group R-3m (No. 166, hexagonal axes)
Unique sites:
Sr: 0.0000 0.0000 0.0000
Zr: 0.0000 0.0000 0.5000
P: 0.0000 0.0000 0.2373

---

Entry 27:
Here is a crystal of TaP2 relaxed with PBEsol from Alexandria. Energies are from SCAN.

- Crystal system: orthorhombic
- Energy: -29.76 eV per atom

Unit cell a=3.323 b=4.739 c=12.007 alpha=90.00 beta=90.00 gamma=90.00
Space group Immm (No. 71)
Unique sites:
Ta: 0.000 0.000 0.125
P: 0.000 0.232 0.500
P: 0.000 0.500 0.214

---

Entry 28:
Here is a crystal of TaP2 relaxed with PBEsol from Alexandria. Energies are from SCAN.

- Crystal system: orthorhombic
- Energy: -29.32 eV per atom

Unit cell a=5.445 b=6.173 c=3.135 alpha=90.00 beta=90.00 gamma=90.00
Space group Pnnm (No. 58)
Unique sites:
Ta: 0.000 0.000 0.000
P: 0.165 0.391 0.000

---

Entry 29:
Here is a crystal of Ta3P relaxed with PBEsol from Alexandria. Energies are from SCAN.

- Crystal system: hexagonal
- Energy: -52.68 eV per atom

Unit cell a=3.0466 b=3.0466 c=8.3785 alpha=90.00 beta=90.00 gamma=120.00
Space group P-6m2 (No. 187)
Unique sites:
Ta: 0.0000 0.0000 0.0000
Ta: 0.3333 0.6667 0.2889
P: 0.0000 0.0000 0.5000